This record from the Open Quantum Materials Database describes an optimized crystal structure of PmEr3Tc. The functional is PBE-GGA.

Structure (extended XYZ):
```
10
Lattice="-3.603 5.531 -5.493 -2.742 0.674 2.477 5.358 5.164 4.527" Properties=species:S:1:pos:R:3 pbc="T T T"
Er -3.158 4.646 -0.488
Er -3.763 7.635 -1.971
Er 0.157 4.074 0.489
Er -1.144 7.294 1.021
Er 2.776 3.733 3.481
Er 2.171 6.722 1.999
Pm -2.600 1.511 0.982
Pm 1.613 9.857 0.528
Tc -1.186 6.319 -1.608
Tc 0.199 5.049 3.118
```

energy = -58.38 eV for the cell shown
space-group type = P2_1/m (11)

=====

This record from the Open Quantum Materials Database describes an optimized crystal structure of CoCuAsW. The functional is PBE-GGA.

Structure (extended XYZ):
```
4
Lattice="0.000 3.002 3.002 3.002 0.000 3.002 3.002 3.002 0.000" Properties=species:S:1:pos:R:3 pbc="T T T"
As 0.000 0.000 0.000
Co 3.002 3.002 3.002
Cu 4.503 4.503 4.503
W 1.501 1.501 1.501
```

space-group type = F-43m (216)
energy relative to the lowest polymorph listed for this composition = 0 meV/atom

=====

This record from the Open Quantum Materials Database describes an optimized crystal structure of BaSmGe2. The functional is PBE-GGA.

Structure (extended XYZ):
```
4
Lattice="3.482 0.000 0.000 0.000 3.121 5.989 0.000 -3.121 5.989" Properties=species:S:1:pos:R:3 pbc="T T T"
Ba 1.741 0.000 1.683
Ge 1.741 0.000 4.868
Ge 1.741 0.000 7.303
Sm 1.741 0.000 10.105
```

energy = -15.40 eV for the cell shown
space-group type = Amm2 (38)

=====

This record from the Open Quantum Materials Database describes an optimized crystal structure of Al4Cu3. The functional is PBE-GGA.

Structure (extended XYZ):
```
56
Lattice="-5.856 5.856 5.856 5.856 -5.856 5.856 5.856 5.856 -5.856" Properties=species:S:1:pos:R:3 pbc="T T T"
Al 0.000 0.000 0.000
Al -2.928 2.928 2.928
Al 2.928 -2.928 2.928
Al 0.000 0.000 5.856
Al 0.116 0.000 2.928
Al 2.928 -2.811 5.856
Al 2.811 0.000 2.928
Al 2.928 -0.116 5.856
Al 0.000 2.928 0.116
Al 0.000 2.928 2.811
Al 0.000 2.928 5.972
Al 0.000 2.928 8.667
Al -2.811 5.856 2.928
Al 2.928 0.116 0.000
Al -0.116 5.856 2.928
Al 2.928 2.811 0.000
Al 2.928 2.928 -2.928
Al 0.000 5.856 0.000
Al 5.856 0.000 0.000
Al 2.928 2.928 2.928
Al 2.928 3.044 5.856
Al 5.972 0.000 2.928
Al 2.928 5.739 5.856
Al 8.667 0.000 2.928
Al 5.856 2.928 -2.811
Al 5.856 2.928 -0.116
Al 5.856 2.928 3.044
Al 5.856 2.928 5.739
Al 2.928 5.972 0.000
Al 3.044 5.856 2.928
Al 2.928 8.667 0.000
Al 5.739 5.856 2.928
Cu -1.434 1.464 4.362
Cu 4.392 -4.362 4.422
Cu -4.362 4.422 4.392
Cu -1.464 4.362 4.422
Cu 1.434 1.464 10.217
Cu 4.362 -1.434 1.464
Cu 1.494 1.434 7.320
Cu 1.464 1.494 4.422
Cu 4.422 -1.464 4.362
Cu 4.362 1.434 4.392
Cu 1.464 4.362 -1.434
Cu 1.434 4.392 4.362
Cu 4.422 1.464 1.494
Cu 4.392 1.494 7.290
Cu 1.494 4.422 1.464
Cu 1.434 7.320 1.494
Cu 4.392 4.362 1.434
Cu 4.362 4.422 -1.464
Cu 1.494 7.290 4.392
Cu 4.422 4.392 -4.362
Cu 7.320 1.494 1.434
Cu 10.217 1.434 1.464
Cu 1.464 10.217 1.434
Cu 7.290 4.392 1.494
```

energy = -217.67 eV for the cell shown
space-group type = Ia-3d (230)

=====

This record from the Open Quantum Materials Database describes an optimized crystal structure of HfCoHg2. The functional is PBE-GGA.

Structure (extended XYZ):
```
4
Lattice="0.000 3.325 3.325 3.325 0.000 3.325 3.325 3.325 0.000" Properties=species:S:1:pos:R:3 pbc="T T T"
Co 1.662 1.662 1.662
Hf 3.325 3.325 3.325
Hg 0.000 0.000 0.000
Hg 4.987 4.987 4.987
```

energy = -16.76 eV for the cell shown
space-group type = F-43m (216)

=====

This record from the Open Quantum Materials Database describes an optimized crystal structure of Ta4PAuC2. The functional is PBE-GGA.

Structure (extended XYZ):
```
8
Lattice="3.240 0.000 0.000 -1.620 2.806 0.000 0.000 0.000 12.611" Properties=species:S:1:pos:R:3 pbc="T T T"
Au 0.000 1.870 0.000
C 0.000 0.000 3.337
C 0.000 0.000 9.273
P 1.620 0.935 6.305
Ta 1.620 0.935 2.223
Ta 0.000 1.870 4.570
Ta 0.000 1.870 8.041
Ta 1.620 0.935 10.388
```

energy = -79.31 eV for the cell shown
space-group type = P-6m2 (187)

=====

This record from the Open Quantum Materials Database describes an optimized crystal structure of LiHfBiOs. The functional is PBE-GGA.

Structure (extended XYZ):
```
4
Lattice="0.000 3.305 3.305 3.305 0.000 3.305 3.305 3.305 0.000" Properties=species:S:1:pos:R:3 pbc="T T T"
Bi 1.652 1.652 1.652
Hf 3.305 3.305 3.305
Li 4.957 4.957 4.957
Os 0.000 0.000 0.000
```

space-group type = F-43m (216)
energy relative to the lowest polymorph listed for this composition = 558 meV/atom

=====

This record from the Open Quantum Materials Database describes an optimized crystal structure of ErGaCo. The functional is PBE-GGA.

Structure (extended XYZ):
```
6
Lattice="-4.101 -0.575 -0.735 2.831 -2.562 -1.762 -0.400 -4.277 5.578" Properties=species:S:1:pos:R:3 pbc="T T T"
Co -1.890 -2.307 0.317
Co 0.221 -5.108 2.764
Er 0.000 0.000 0.000
Er -0.200 -2.139 2.789
Ga 0.421 -2.969 -0.025
Ga -2.090 -4.445 3.106
```

energy = -32.06 eV for the cell shown
space-group type = P6_3/mmc (194)

=====

This record from the Open Quantum Materials Database describes an optimized crystal structure of NaYHg6. The functional is PBE-GGA.

Structure (extended XYZ):
```
8
Lattice="-5.599 -0.489 3.550 5.894 -0.838 2.957 0.204 5.004 1.012" Properties=species:S:1:pos:R:3 pbc="T T T"
Hg 1.028 -0.360 1.572
Hg 3.985 -0.780 3.055
Hg 1.176 -1.026 4.837
Hg -0.781 2.199 2.181
Hg -3.583 1.955 3.957
Hg -0.634 1.535 5.436
Na -1.768 -0.606 3.352
Y 2.165 1.780 3.660
```

energy = -11.70 eV for the cell shown
space-group type = P-6m2 (187)

=====

This record from the Open Quantum Materials Database describes an optimized crystal structure of NiH22C6N4Cl4. The functional is PBE-GGA.

Structure (extended XYZ):
```
74
Lattice="0.467 -3.627 -5.230 -1.034 -5.641 2.799 -16.194 1.675 -2.609" Properties=species:S:1:pos:R:3 pbc="T T T"
C -1.961 -3.466 -5.275
C -2.686 -2.721 -3.072
C -2.832 -5.106 -3.698
C -5.940 -3.469 0.540
C -6.086 -5.854 -0.086
C -6.078 -4.126 -1.802
C -10.684 -3.467 -3.237
C -10.675 -1.739 -4.954
C -10.821 -4.124 -5.579
C -13.929 -2.487 -1.342
C -14.075 -4.872 -1.968
C -14.800 -4.126 0.235
Cl -0.143 -2.338 -0.613
Cl -0.424 -6.930 -1.818
Cl -2.562 -4.737 -0.293
Cl -5.819 -3.315 -4.953
Cl -8.237 -1.458 -1.907
Cl -8.524 -6.134 -3.133
Cl -10.942 -4.278 -0.086
Cl -14.199 -2.856 -4.747
H -0.174 -3.197 -3.418
H -0.273 -4.812 -3.841
H -1.943 -0.658 -0.586
H -2.404 -8.190 -2.562
H -2.073 -1.821 -3.209
H -2.321 -5.888 -4.275
H -2.737 -3.007 -2.016
H -2.882 -5.369 -2.635
H -2.990 -3.314 -5.617
H -3.684 -2.591 -3.510
H -3.825 -4.890 -4.114
H -4.850 -3.555 0.437
H -4.991 -5.854 -0.166
H -4.984 -4.192 -1.803
H -5.388 -0.447 -1.869
H -5.810 -7.353 -3.681
H -6.288 -2.470 0.248
H -6.537 -6.536 -0.819
H -6.418 -3.112 -2.038
H -6.524 -4.848 -2.494
H -8.262 -3.445 -0.585
H -8.361 -5.060 -1.008
H -8.400 -2.533 -4.031
H -8.499 -4.148 -4.455
H -10.237 -2.745 -2.546
H -10.344 -4.481 -3.002
H -10.224 -1.057 -4.221
H -10.473 -5.123 -5.288
H -10.951 -0.240 -1.359
H -11.373 -7.146 -3.171
H -11.777 -3.401 -3.237
H -11.770 -1.739 -4.874
H -11.911 -4.038 -5.477
H -12.936 -2.703 -0.926
H -13.077 -5.002 -1.529
H -13.771 -4.279 0.577
H -13.879 -2.224 -2.405
H -14.024 -4.585 -3.024
H -14.440 -1.705 -0.765
H -14.689 -5.772 -1.831
H -14.357 0.597 -2.478
H -14.818 -6.934 -4.454
H -16.488 -2.781 -1.199
H -16.587 -4.396 -1.622
N -0.706 -4.075 -3.250
N -2.044 -3.842 -3.823
N -6.527 -4.463 -0.410
N -7.995 -4.405 -0.288
N -8.766 -3.187 -4.752
N -10.234 -3.130 -4.630
N -14.717 -3.751 -1.217
N -16.055 -3.518 -1.790
Ni -0.283 -4.634 -1.215
Ni -8.097 0.838 -1.304
```

energy = -368.82 eV for the cell shown
space-group type = Cmce (64)

=====

This record from the Open Quantum Materials Database describes an optimized crystal structure of TbHg2. The functional is PBE-GGA.

Structure (extended XYZ):
```
3
Lattice="-1.761 1.863 4.172 3.175 -3.726 0.131 2.628 2.243 0.108" Properties=species:S:1:pos:R:3 pbc="T T T"
Hg 2.770 -0.804 1.529
Hg 1.271 1.184 2.882
Tb 0.000 0.000 0.000
```

energy = -6.40 eV for the cell shown
space-group type = P-3m1 (164)

=====

This record from the Open Quantum Materials Database describes an optimized crystal structure of NbFeNiGe. The functional is PBE-GGA.

Structure (extended XYZ):
```
4
Lattice="0.000 2.992 2.992 2.992 0.000 2.992 2.992 2.992 0.000" Properties=species:S:1:pos:R:3 pbc="T T T"
Fe 4.488 4.488 4.488
Ge 0.000 0.000 0.000
Nb 2.992 2.992 2.992
Ni 1.496 1.496 1.496
```

space-group type = F-43m (216)
energy relative to the lowest polymorph listed for this composition = 0 meV/atom

=====

This record from the Open Quantum Materials Database describes an optimized crystal structure of GdDyAl4Pd2. The functional is PBE-GGA.

Structure (extended XYZ):
```
8
Lattice="6.949 0.000 0.000 0.000 2.148 5.144 0.000 -2.148 5.144" Properties=species:S:1:pos:R:3 pbc="T T T"
Al 1.362 0.000 1.464
Al 5.587 0.000 1.464
Al 2.104 0.000 8.826
Al 4.845 0.000 8.826
Dy 0.000 0.000 4.408
Gd 3.475 0.000 5.877
Pd 3.475 0.000 2.976
Pd 0.000 0.000 7.307
```

energy = -40.89 eV for the cell shown
space-group type = Amm2 (38)

=====

This record from the Open Quantum Materials Database describes an optimized crystal structure of YHfCd2. The functional is PBE-GGA.

Structure (extended XYZ):
```
4
Lattice="0.000 3.611 3.611 3.611 0.000 3.611 3.611 3.611 0.000" Properties=species:S:1:pos:R:3 pbc="T T T"
Cd 0.000 0.000 0.000
Cd 5.416 5.416 5.416
Hf 3.611 3.611 3.611
Y 1.805 1.805 1.805
```

energy = -17.22 eV for the cell shown
space-group type = F-43m (216)

=====

This record from the Open Quantum Materials Database describes an optimized crystal structure of ErAlAsO. The functional is PBE-GGA.

Structure (extended XYZ):
```
8
Lattice="-1.276 -0.961 -3.680 3.784 0.071 -1.331 0.829 -8.410 1.909" Properties=species:S:1:pos:R:3 pbc="T T T"
Al 0.403 -4.908 -2.138
Al 2.933 -4.392 -0.963
As 2.144 -3.346 -3.150
As 1.192 -5.954 0.049
Er 0.723 -1.203 -1.030
Er 2.613 -8.098 -2.071
O -0.011 -0.703 -3.092
O 2.519 -0.187 -1.918
```

space-group type = P4/nmm (129)
energy relative to the lowest polymorph listed for this composition = 0 meV/atom

=====

This record from the Open Quantum Materials Database describes an optimized crystal structure of Re10W3. The functional is PBE-GGA.

Structure (extended XYZ):
```
13
Lattice="4.655 -7.017 4.443 5.775 -7.554 -0.488 8.260 -4.125 2.325" Properties=species:S:1:pos:R:3 pbc="T T T"
Re 3.990 -5.154 2.759
Re 4.541 -5.419 0.330
Re 6.506 -6.508 2.186
Re 12.925 -14.967 4.565
Re 8.500 -8.503 2.856
Re 10.191 -10.194 3.424
Re 5.766 -3.729 1.715
Re 12.185 -12.189 4.094
Re 14.149 -13.278 5.950
Re 14.701 -13.542 3.521
W 0.000 0.000 0.000
W 3.118 -3.119 1.048
W 15.573 -15.578 5.232
```

space-group type = R-3m (166)
energy relative to the lowest polymorph listed for this composition = 3 meV/atom

=====

This record from the Open Quantum Materials Database describes an optimized crystal structure of LiCdIn. The functional is PBE-GGA.

Structure (extended XYZ):
```
3
Lattice="0.000 3.304 3.304 3.304 0.000 3.304 3.304 3.304 0.000" Properties=species:S:1:pos:R:3 pbc="T T T"
Cd 0.000 0.000 0.000
In 1.652 1.652 1.652
Li 4.956 4.956 4.956
```

space-group type = F-43m (216)
energy relative to the lowest polymorph listed for this composition = 0 meV/atom

=====

This record from the Open Quantum Materials Database describes an optimized crystal structure of Nb2CoSi2Ir. The functional is PBE-GGA.

Structure (extended XYZ):
```
24
Lattice="-0.308 -5.288 4.744 -2.178 -2.243 -2.642 11.427 -3.410 -6.527" Properties=species:S:1:pos:R:3 pbc="T T T"
Co 5.590 -4.353 -0.913
Co 4.670 -2.851 -4.601
Co 8.450 -3.850 -3.698
Co 11.399 -3.408 -6.506
Ir 1.708 -3.301 -1.776
Ir 2.663 -4.843 1.917
Ir 7.226 -7.636 -2.646
Ir 10.142 -7.153 -5.461
Nb -0.490 -2.233 -0.872
Nb 0.478 -3.915 2.931
Nb 3.550 -3.434 -0.012
Nb 2.314 -7.202 1.036
Nb 5.057 -6.633 -1.708
Nb 6.383 -2.919 -2.785
Nb 7.969 -6.085 -4.576
Nb 9.023 -7.816 -0.803
Si 2.085 -0.965 -0.899
Si 0.866 -4.725 0.128
Si 3.897 -4.293 -2.739
Si 4.835 -5.838 0.970
Si 6.703 -3.786 -5.483
Si 7.644 -5.272 -1.826
Si 10.578 -4.815 -4.634
Si 9.349 -8.624 -3.557
```

energy = -203.40 eV for the cell shown
space-group type = Pm (6)

=====

This record from the Open Quantum Materials Database describes an optimized crystal structure of Pr2YMg3Cd2Ag. The functional is PBE-GGA.

Structure (extended XYZ):
```
9
Lattice="-2.583 -3.159 1.426 3.834 -0.008 6.927 -6.297 4.690 -1.020" Properties=species:S:1:pos:R:3 pbc="T T T"
Ag -0.011 0.021 0.026
Cd -0.875 -0.012 4.939
Cd -4.158 1.510 2.364
Mg -0.388 -1.566 2.379
Mg -2.797 -0.449 0.490
Mg -3.160 1.972 5.195
Pr 0.102 2.771 6.322
Pr -4.024 4.684 3.085
Y -0.999 1.898 2.396
```

energy = -27.66 eV for the cell shown
space-group type = Amm2 (38)

=====

This record from the Open Quantum Materials Database describes an optimized crystal structure of NaAlCo. The functional is PBE-GGA.

Structure (extended XYZ):
```
3
Lattice="0.000 3.107 3.107 3.107 0.000 3.107 3.107 3.107 0.000" Properties=species:S:1:pos:R:3 pbc="T T T"
Al 1.553 1.553 1.553
Co 4.660 4.660 4.660
Na 0.000 0.000 0.000
```

space-group type = F-43m (216)
energy relative to the lowest polymorph listed for this composition = 609 meV/atom